YScSi2 at its PBEsol-relaxed geometry, computed with meta-GGA SCAN.

Cell lengths 3.7216, 4.0997, 10.1661 Å; angles 90.00, 90.00, 90.00 degrees
Last column: nearest neighbours and their distance in Å.
Space group Amm2 (No. 38)
One atom of each set of equivalent atoms:
Y (0.0000, 0.0000, 0.0000) [2 per cell]  7 Si 2.84-3.04
Sc (0.5000, 0.0000, 0.2797) [2 per cell]  7 Si 2.83-3.00
Si (0.0000, 0.0000, 0.7209) [2 per cell]  2 Si 2.45
Si (0.5000, 0.0000, 0.5648) [2 per cell]  2 Si 2.45

Results
- E above lowest polymorph (meV/atom) = 0
- raw formation energy (eV per atom) = -0.850
- density of states at the Fermi level (states/eV per cell) = 4.1